A relaxed structure of RbNiC2O6. Source: the Alexandria database, functional GGA+U.

```
RbNiC2O6
1.0
-3.1724 -3.0958 4.6918
-4.1851 -1.4934 -4.6815
5.5608 -4.0981 -1.3014
Rb Ni C O
2 2 4 12
direct
0.1036 0.8964 0.2500 Rb
0.8964 0.1036 0.7500 Rb
0.6609 0.3391 0.2500 Ni
0.3391 0.6609 0.7500 Ni
0.4030 0.1902 0.8003 C
0.8098 0.5970 0.6997 C
0.5970 0.8098 0.1997 C
0.1902 0.4030 0.3003 C
0.9869 0.3266 0.2205 O
0.6734 0.0131 0.2795 O
0.0131 0.6734 0.7795 O
0.3266 0.9869 0.7205 O
0.3288 0.2988 0.2321 O
0.7012 0.6712 0.2679 O
0.6712 0.7012 0.7679 O
0.2988 0.3288 0.7321 O
0.2518 0.5847 0.4420 O
0.4153 0.7482 0.0580 O
0.7482 0.4153 0.5580 O
0.5847 0.2518 0.9420 O
```

Calculated values
D(E_F)	9.75	states/eV/cell
final energy	-0.2386	hartree per atom
volume	271.6	Å³/cell